Computed, not measured: an optimized crystal structure of LaGdSc2 at the GGA-PBE level of DFT.

Properties
- E_form: 0.28 eV per formula unit

a = 7.782 Å, b = 7.782 Å, c = 7.782 Å
α = 90.00°, β = 90.00°, γ = 90.00°
Space group Fm-3m (No. 225)
Unique sites:
La: 0.000 0.000 0.000
Gd: 0.000 0.000 0.500
Sc: 0.250 0.250 0.250

=====

Computed, not measured: an optimized crystal structure of BaReIO4 at the GGA-PBE level of DFT.

Properties
- Energy relative to the elements, uncorrected: -188.5 kJ per mole of atoms

a = 11.755 Å, b = 8.168 Å, c = 7.996 Å
α = 90.00°, β = 104.72°, γ = 90.00°
Space group C2/m (No. 12)
Unique sites:
Ba: 0.233 0.000 0.159
Re: 0.129 0.500 0.255
I: 0.041 0.000 0.755
O: 0.024 0.500 0.783
O: 0.172 0.326 0.156
O: 0.191 0.500 0.479

=====

Computed, not measured: an optimized crystal structure of NaLi3Br at the GGA-PBE level of DFT.

Properties
- Energy relative to the elements, uncorrected: 8.9 kJ per mole of atoms

a = 5.372 Å, b = 5.372 Å, c = 5.372 Å
α = 90.00°, β = 90.00°, γ = 90.00°
Space group Pm-3m (No. 221)
Unique sites:
Na: 0.000 0.000 0.000
Li: 0.000 0.000 0.500
Br: 0.500 0.500 0.500

=====

Computed, not measured: an optimized crystal structure of CeTm2Hg6 at the GGA-PBE level of DFT.

Properties
- E_form: -3.09 eV per formula unit

a = 8.6499 Å, b = 8.6499 Å, c = 3.3860 Å
α = 90.00°, β = 90.00°, γ = 120.00°
Space group P6/mmm (No. 191)
Unique sites:
Ce: 0.0000 0.0000 0.0000
Tm: 0.3333 0.6667 0.0000
Hg: 0.0000 0.3362 0.5000

=====

Computed, not measured: an optimized crystal structure of Ba2LiHg at the GGA-PBE level of DFT.

Properties
- E_form: -0.84 eV per formula unit

a = 12.820 Å, b = 4.188 Å, c = 6.025 Å
α = 90.00°, β = 110.74°, γ = 90.00°
Space group Cm (No. 8)
Unique sites:
Ba: 0.000 0.000 0.000
Ba: 0.199 0.000 0.646
Li: 0.408 0.000 0.393
Hg: 0.247 0.500 0.187

=====

Computed, not measured: an optimized crystal structure of PmPr5Nd3 at the GGA-PBE level of DFT.

Properties
- E_form: 2.26 eV per formula unit

a = 20.881 Å, b = 6.362 Å, c = 11.763 Å
α = 90.00°, β = 122.15°, γ = 90.00°
Space group C2/c (No. 15)
Unique sites:
Pm: 0.000 0.097 0.250
Pr: 0.000 0.420 0.750
Pr: 0.142 0.313 0.154
Pr: 0.178 0.198 0.836
Nd: 0.000 0.000 0.000
Nd: 0.178 0.233 0.526

=====

In the order shown, the computed total moment values come out to 29.470, 0.000, 0.000, 1.147, 0.000, 0.000 μB/cell.